(1)
Compound: Li2MnRu
Source: Alexandria
Functional: PBE
Structure: optimized geometry

Computed properties:
E above lowest polymorph (eV/f.u.): 0.02
ΔE_f (meV/atom): 186
Symmetry: Pm (6)

Cell and atoms, written as POSCAR:
```
Li2MnRu
1.0
4.043 0.000 0.000
0.000 2.611 -0.026
0.000 1.038 5.208
Li Ru Mn
2 1 1
Direct
0.000 0.988 0.019 Li
0.500 0.303 0.227 Li
0.500 0.784 0.704 Ru
0.000 0.425 0.549 Mn
```

(2)
Compound: LiCr2In
Source: Alexandria
Functional: PBE
Structure: optimized geometry

Computed properties:
ΔE_f (meV/atom): 475
Symmetry: P2/m (10)

Cell and atoms, written as POSCAR:
```
LiCr2In
1.0
-2.996 1.438 2.938
-0.283 -2.491 0.930
3.435 -0.624 3.808
Cr Li In
2 1 1
Direct
0.000 0.024 0.950 Cr
0.000 0.476 0.550 Cr
0.500 0.750 0.750 Li
0.500 0.250 0.250 In
```

(3)
Compound: LiReF2
Source: Alexandria
Functional: PBE
Structure: optimized geometry

Computed properties:
E_form (uncorrected) (kJ/mol of atoms): -176.8
E above lowest polymorph (eV/f.u.): 0.00
Symmetry: R-3m (166)

Cell and atoms, written as POSCAR:
```
LiReF2
1.0
5.525 -2.256 2.829
6.433 -0.050 1.495
5.282 0.220 3.959
Re F Li
1 2 1
Direct
0.000 0.000 0.000 Re
0.893 0.893 0.893 F
0.107 0.107 0.107 F
0.500 0.500 0.500 Li
```

(4)
Compound: LiTcS2
Source: Alexandria
Functional: PBE
Structure: optimized geometry

Computed properties:
E_form (uncorrected) (kJ/mol of atoms): -1.9
E above lowest polymorph (eV/f.u.): 2.21
Symmetry: R-3m (166)

Cell and atoms, written as POSCAR:
```
LiTcS2
1.0
1.715 0.000 8.068
-0.858 1.485 8.068
-0.858 -1.485 8.068
Li S Tc
1 2 1
Direct
0.500 0.500 0.500 Li
0.093 0.093 0.093 S
0.907 0.907 0.907 S
0.000 0.000 0.000 Tc
```

(5)
Compound: ZrSi2O6
Source: Alexandria
Functional: PBE
Structure: optimized geometry

Computed properties:
E_form (uncorrected) (kJ/mol of atoms): -284.7
Symmetry: C2/c (15)

Cell and atoms, written as POSCAR:
```
ZrSi2O6
1.0
-5.370 -0.588 -0.553
-1.061 -6.664 1.184
-2.428 0.981 6.331
Zr O Si
2 12 4
Direct
0.250 0.119 0.881 Zr
0.750 0.881 0.119 Zr
0.715 0.599 0.113 O
0.785 0.887 0.401 O
0.860 0.186 0.059 O
0.461 0.356 0.353 O
0.140 0.814 0.941 O
0.360 0.059 0.186 O
0.539 0.644 0.647 O
0.640 0.941 0.814 O
0.215 0.113 0.599 O
0.285 0.401 0.887 O
0.961 0.353 0.356 O
0.039 0.647 0.644 O
0.254 0.624 0.781 Si
0.754 0.781 0.624 Si
0.746 0.376 0.219 Si
0.246 0.219 0.376 Si
```

(6)
Compound: Na2TlPtO4
Source: Alexandria
Functional: PBE
Structure: optimized geometry

Computed properties:
E_form (uncorrected) (kJ/mol of atoms): -88.0
Symmetry: I-4 (82)

Cell and atoms, written as POSCAR:
```
Na2TlPtO4
1.0
5.348 0.135 0.207
-2.156 4.896 -0.207
-2.156 -2.160 4.398
Na Pt Tl O
2 1 1 4
Direct
0.500 0.750 0.250 Na
0.000 0.000 0.000 Na
0.000 0.500 0.500 Pt
0.500 0.250 0.750 Tl
0.115 0.320 0.776 O
0.545 0.224 0.340 O
0.455 0.795 0.680 O
0.885 0.660 0.205 O
```

(7)
Compound: DyHoZnNi
Source: Alexandria
Functional: PBE
Structure: optimized geometry

Computed properties:
E above lowest polymorph (eV/f.u.): 0.00
ΔE_f (meV/atom): -383
Symmetry: P4mm (99)

Cell and atoms, written as POSCAR:
```
DyHoZnNi
1.0
3.455 0.000 0.000
0.000 3.455 0.000
0.000 0.000 6.955
Ni Dy Zn Ho
1 1 1 1
Direct
0.500 0.500 0.605 Ni
0.000 0.000 0.841 Dy
0.500 0.500 0.109 Zn
0.000 0.000 0.373 Ho
```

(8)
Compound: Ba2Si3Pd12Pt
Source: Alexandria
Functional: PBE
Structure: optimized geometry

Computed properties:
E_form (uncorrected) (kJ/mol of atoms): -21.9
Symmetry: R-3m (166)

Cell and atoms, written as POSCAR:
```
Ba2Si3Pd12Pt
1.0
-3.225 2.478 -6.860
-7.775 -1.462 -1.001
-4.882 6.291 0.438
Pd Si Pt Ba
12 3 1 2
Direct
0.341 0.911 0.341 Pd
0.659 0.659 0.089 Pd
0.881 0.881 0.377 Pd
0.881 0.377 0.881 Pd
0.119 0.623 0.119 Pd
0.089 0.659 0.659 Pd
0.911 0.341 0.341 Pd
0.623 0.119 0.119 Pd
0.659 0.089 0.659 Pd
0.119 0.119 0.623 Pd
0.377 0.881 0.881 Pd
0.341 0.341 0.911 Pd
0.500 0.000 0.000 Si
0.000 0.000 0.500 Si
0.000 0.500 0.000 Si
0.000 0.000 0.000 Pt
0.613 0.613 0.613 Ba
0.387 0.387 0.387 Ba
```